Entry 1:
Here is a geometry-optimized Li2GaHg structure from Alexandria via LeMat-Bulk. Energies are from PBE.

Calculated values
**Formation energy from the elements**: -0.30 eV per atom
**Space group**: No. 123
**D(E_F)**: 0.239 states/eV per atom

Cell and atoms, written as POSCAR:
```
Li2GaHg
1.0
3.2880 0.0000 0.0000
0.0000 3.2880 0.0000
0.0000 0.0000 6.3140
Li Ga Hg
2 1 1
direct
0.0000 0.0000 0.2409
0.0000 0.0000 0.7591
0.5000 0.5000 0.0000
0.5000 0.5000 0.5000
```

---

Entry 2:
Here is a geometry-optimized LiGaHg structure from Alexandria via LeMat-Bulk. Energies are from PBE.

Calculated values
**Formation energy from the elements**: -0.20 eV per atom
**Space group**: No. 107
**D(E_F)**: 0.262 states/eV per atom
**Excess energy over the best structure of this formula in the dataset**: 0.028 eV per atom

Cell and atoms, written as POSCAR:
```
LiGaHg
1.0
-1.8124 1.8124 4.2964
1.8124 -1.8124 4.2964
1.8124 1.8124 -4.2964
Li Ga Hg
1 1 1
direct
0.0000 0.0000 0.0000
0.6684 0.6684 0.0000
0.3368 0.3368 0.0000
```

---

Entry 3:
Here is a geometry-optimized Li2GaHg7 structure from Alexandria via LeMat-Bulk. Energies are from PBE.

Calculated values
**Formation energy from the elements**: -0.09 eV per atom
**Space group**: No. 156
**D(E_F)**: 0.183 states/eV per atom

Cell and atoms, written as POSCAR:
```
Li2GaHg7
1.0
4.5837 0.0000 0.0000
-2.2919 3.9696 0.0000
0.0000 0.0000 13.2833
Li Ga Hg
2 1 7
direct
0.0000 0.0000 0.0000
0.3333 0.6667 0.6856
0.6667 0.3333 0.3639
0.0000 0.0000 0.2845
0.0000 0.0000 0.7697
0.3333 0.6667 0.1761
0.3333 0.6667 0.4723
0.3333 0.6667 0.9028
0.6667 0.3333 0.0594
0.6667 0.3333 0.6107
```

---

Entry 4:
Here is a geometry-optimized Li2GaHg2 structure from Alexandria via LeMat-Bulk. Energies are from PBE.

Calculated values
**Formation energy from the elements**: -0.22 eV per atom
**Space group**: No. 72
**D(E_F)**: 0.333 states/eV per atom
**Excess energy over the best structure of this formula in the dataset**: 0.020 eV per atom

Cell and atoms, written as POSCAR:
```
Li2GaHg2
1.0
-2.7580 6.7561 2.7087
2.7580 -6.7561 2.7087
2.7580 6.7561 -2.7087
Li Ga Hg
4 2 4
direct
0.1776 0.1590 0.3366
0.3224 0.6590 0.9814
0.6776 0.3410 0.0186
0.8224 0.8410 0.6634
0.2500 0.2500 0.0000
0.7500 0.7500 0.0000
0.1177 0.6398 0.7575
0.3823 0.1398 0.5221
0.6177 0.8602 0.4779
0.8823 0.3602 0.2425
```

---

> Which of these has the lowest D(E_F)?

Li2GaHg7